# 1
{
  "formula": "Nd2Er2Sc5",
  "functional": "PBE",
  "state": "relaxed",
  "formation_energy_ev_per_fu": 1.80,
  "total_magnetization_mub_per_cell": 0.00,
  "sg": "Ima2, No. 46",
  "lattice_angstrom": [[-3.8577, 2.0068, -7.2355], [5.3518, -7.4534, -4.9206], [-5.0187, -1.1401, 7.2840]],
  "species": ["Nd", "Nd", "Nd", "Nd", "Er", "Er", "Er", "Er", "Sc", "Sc", "Sc", "Sc", "Sc", "Sc", "Sc", "Sc", "Sc", "Sc"],
  "frac_coords": [[0.0000, 0.0470, 0.0000], [0.5000, 0.5470, 0.0000], [0.3517, 0.4084, 0.5000], [0.6483, 0.9084, 0.5000], [0.2310, 0.5771, 0.2112], [0.7690, 0.3660, 0.7888], [0.4802, 0.0771, 0.2112], [0.5198, 0.8660, 0.7888], [0.1968, 0.6876, 0.7945], [0.8032, 0.8931, 0.2055], [0.0977, 0.1876, 0.7945], [0.9023, 0.3931, 0.2055], [0.1904, 0.9024, 0.2498], [0.8096, 0.6526, 0.7502], [0.5594, 0.4024, 0.2498], [0.4406, 0.1526, 0.7502], [0.0514, 0.8017, 0.5000], [0.9486, 0.3017, 0.5000]]
}

***

# 2
{
  "formula": "Na2ZnAg",
  "functional": "PBE",
  "state": "relaxed",
  "formation_energy_ev_per_fu": 0.79,
  "total_magnetization_mub_per_cell": 0.00,
  "sg": "I-42d, No. 122",
  "lattice_angstrom": [[-0.7533, 2.9659, -2.8044], [-0.1474, -2.8697, -2.9954], [-10.9656, -1.0966, -1.2858]],
  "species": ["Na", "Na", "Na", "Na", "Zn", "Zn", "Ag", "Ag"],
  "frac_coords": [[0.6265, 0.1250, 0.2500], [0.1235, 0.6250, 0.2500], [0.3750, 0.3735, 0.7500], [0.8750, 0.8765, 0.7500], [0.5000, 0.5000, 0.0000], [0.2500, 0.7500, 0.5000], [0.0000, 0.0000, 0.0000], [0.7500, 0.2500, 0.5000]]
}

***

# 3
{
  "formula": "Ho2Er2Ga4Au",
  "functional": "PBE",
  "state": "relaxed",
  "formation_energy_ev_per_fu": -3.00,
  "total_magnetization_mub_per_cell": 0.00,
  "sg": "I4/mmm, No. 139",
  "lattice_angstrom": [[6.6200, 0.1471, 0.2123], [-3.0487, 5.8781, -0.2123], [-3.0487, -2.2640, 5.4288]],
  "species": ["Ho", "Ho", "Er", "Er", "Ga", "Ga", "Ga", "Ga", "Au"],
  "frac_coords": [[0.5000, 0.7500, 0.2500], [0.5000, 0.2500, 0.7500], [0.0000, 0.6863, 0.6863], [0.0000, 0.3137, 0.3137], [0.0000, 0.7452, 0.2548], [0.4904, 0.7452, 0.7452], [0.0000, 0.2548, 0.7452], [0.5096, 0.2548, 0.2548], [0.0000, 0.0000, 0.0000]]
}

***

# 4
{
  "formula": "NaZrPb2",
  "functional": "PBE",
  "state": "relaxed",
  "formation_energy_ev_per_fu": 1.05,
  "total_magnetization_mub_per_cell": 0.00,
  "sg": "I-42d, No. 122",
  "lattice_angstrom": [[-8.0498, 0.4354, 0.7085], [-0.7003, -7.2675, -3.4907], [-4.1886, -4.8855, 1.6307]],
  "species": ["Pb", "Pb", "Pb", "Pb", "Na", "Na", "Zr", "Zr"],
  "frac_coords": [[0.6221, 0.1250, 0.2500], [0.1279, 0.6250, 0.2500], [0.3750, 0.3779, 0.7500], [0.8750, 0.8721, 0.7500], [0.5000, 0.5000, 0.0000], [0.2500, 0.7500, 0.5000], [0.0000, 0.0000, 0.0000], [0.7500, 0.2500, 0.5000]]
}

***

# 5
{
  "formula": "BaSnTe2",
  "functional": "PBE",
  "state": "relaxed",
  "formation_energy_uncorrected_ev_per_atom": -0.942,
  "total_magnetization_mub_per_cell": 0.00,
  "sg": "R3m, No. 160",
  "lattice_angstrom": [[4.7005, 0.0000, 0.0000], [2.3503, 4.0708, 0.0000], [2.3503, 1.3569, 8.0936]],
  "species": ["Ba", "Sn", "Te", "Te"],
  "frac_coords": [[0.4993, 0.4993, 0.5020], [0.6674, 0.6674, 0.9977], [0.0749, 0.0749, 0.7754], [0.2584, 0.2584, 0.2248]]
}

***

# 6
{
  "formula": "CsNiTeN2",
  "functional": "PBE",
  "state": "relaxed",
  "formation_energy_uncorrected_ev_per_atom": 2.536,
  "total_magnetization_mub_per_cell": 3.51,
  "sg": "P4/mmm, No. 123",
  "lattice_angstrom": [[4.3285, 0.0000, 0.0000], [0.0000, 4.3285, 0.0000], [0.0000, 0.0000, 7.7757]],
  "species": ["Cs", "Ni", "Te", "N", "N"],
  "frac_coords": [[0.0000, 0.0000, 0.0000], [0.5000, 0.5000, 0.5000], [0.0000, 0.0000, 0.5000], [0.0000, 0.5000, 0.0000], [0.5000, 0.0000, 0.0000]]
}